K2NbS: optimized geometry, PBE-GGA.

abc: 8.9688 8.9688 8.9688
angles: 94.13 94.13 148.88
Last column: nearest neighbours and their distance in Å.
Sites, in units of the cell vectors:
K (0.3750, 0.2004, 0.3254)  2 S 3.25
K (0.7996, 0.1250, 0.1746)  2 S 3.25
K (0.8750, 0.0496, 0.6746)  2 S 3.25
K (0.9504, 0.6250, 0.8254)  2 S 3.25
Nb (0.2500, 0.7500, 0.5000)  2 S 2.41
Nb (0.5000, 0.5000, 0.0000)  2 S 2.41
S (0.0000, 0.0000, 0.0000)  2 Nb 2.41
S (0.7500, 0.2500, 0.5000)  2 Nb 2.41

Calculated values
The total magnetization comes out at 6.39 Bohr magnetons per cell. Its symmetry is I-42d, No. 122. The formation energy without anion corrections comes out at 0.09 eV per atom. The uncorrected energy is -4.0098 eV/atom. Its density of states at the Fermi level is 2.51 states/eV/f.u.

=====

Dy2RuCl: optimized geometry, PBE-GGA.

abc: 3.3484 3.3484 7.9633
angles: 90.00 90.00 90.00
Last column: nearest neighbours and their distance in Å.
Sites, in units of the cell vectors:
Dy (0.0000, 0.0000, 0.2116)  4 Ru 2.91
Dy (0.0000, 0.0000, 0.7884)  4 Ru 2.91
Ru (0.5000, 0.5000, 0.0000)  8 Dy 2.91
Cl (0.5000, 0.5000, 0.5000)  8 Dy 3.30, 4 Cl 3.35

Calculated values
The total magnetization comes out at 0.00 Bohr magnetons per cell. Its symmetry is P4/mmm, No. 123. The formation energy without anion corrections comes out at -0.90 eV per atom. The uncorrected energy is -5.9797 eV/atom. As for the energy above the most stable polymorph in this dataset: 0.317 eV per formula unit. Its density of states at the Fermi level is 1.72 states/eV/f.u.

=====

In2PdPtRh: optimized geometry, PBE-GGA.

abc: 4.9366 4.9366 4.8532
angles: 90.00 90.00 90.00
Last column: nearest neighbours and their distance in Å.
Sites, in units of the cell vectors:
In (0.0000, 0.5000, 0.0000)  2 Pd 2.47
In (0.5000, 0.0000, 0.0000)  2 Pd 2.47
Pd (0.0000, 0.0000, 0.0000)  2 Rh 2.43, 4 In 2.47
Pt (0.5000, 0.5000, 0.5000)  8 In 3.46, 4 Rh 3.49
Rh (0.0000, 0.0000, 0.5000)  2 Pd 2.43

Calculated values
The total magnetization comes out at 0.65 Bohr magnetons per cell. Its symmetry is P4/mmm, No. 123. The calculation puts the formation energy at 0.744 eV/atom. The uncorrected energy is -4.0682 eV/atom. As for the energy above the most stable polymorph in this dataset: 0.035 eV per formula unit. Its density of states at the Fermi level is 5.55 states/eV/f.u.